Entry 1:
## MnSn2SbPt (PBE)

Data for MnSn2SbPt after structural relaxation.

Unit cell a=5.325 b=3.994 c=5.444 alpha=90.00 beta=106.72 gamma=90.00
Space group Pm (No. 6)
Unique sites:
Mn  0.000  0.000  0.000 x1
Sn  0.112  0.000  0.539 x1
Sn  0.716  0.500  0.716 x1
Sb  0.535  0.000  0.109 x1
Pt  0.300  0.500  0.300 x1

Computed properties:
Offset from the most stable computed form: 26 meV/atom
Size of the total moment: 2.76 μB per formula unit

***

Entry 2:
## MnSn2SbPt (PBE)

Data for MnSn2SbPt after structural relaxation.

Unit cell a=10.787 b=4.012 c=5.501 alpha=90.00 beta=108.30 gamma=90.00
Space group Cm (No. 8)
Unique sites:
Mn  0.000  0.000  0.000 x2
Sn  0.167  0.500  0.322 x2
Sn  0.286  0.000  0.939 x2
Sb  0.455  0.500  0.465 x2
Pt  0.097  0.500  0.769 x2

Computed properties:
Offset from the most stable computed form: 82 meV/atom
Size of the total moment: 3.78 μB per formula unit

***

Entry 3:
## MnSn2SbPt (PBE)

Data for MnSn2SbPt after structural relaxation.

Unit cell a=12.889 b=4.075 c=4.546 alpha=90.00 beta=110.48 gamma=90.00
Space group Cm (No. 8)
Unique sites:
Mn  0.000  0.000  0.000 x2
Sn  0.111  0.000  0.611 x2
Sn  0.355  0.000  0.851 x2
Sb  0.158  0.500  0.159 x2
Pt  0.379  0.500  0.381 x2

Computed properties:
Offset from the most stable computed form: 118 meV/atom
Size of the total moment: 3.14 μB per formula unit

***

Entry 4:
## MnSn2SbPt (PBE)

Data for MnSn2SbPt after structural relaxation.

Unit cell a=9.593 b=3.344 c=7.292 alpha=90.00 beta=109.82 gamma=90.00
Space group Cm (No. 8)
Unique sites:
Mn  0.000  0.000  0.000 x2
Sn  0.276  0.000  0.975 x2
Sn  0.496  0.000  0.691 x2
Sb  0.120  0.500  0.265 x2
Pt  0.263  0.500  0.635 x2

Computed properties:
Offset from the most stable computed form: 122 meV/atom
Size of the total moment: 0.00 μB per formula unit

***

Entry 5:
## MnSn2SbPt (PBE)

Data for MnSn2SbPt after structural relaxation.

Unit cell a=3.814 b=4.401 c=13.181 alpha=90.00 beta=90.00 gamma=90.00
Space group Imm2 (No. 44)
Unique sites:
Mn  0.000  0.000  0.000 x2
Sn  0.000  0.000  0.535 x2
Sn  0.000  0.500  0.347 x2
Sb  0.000  0.000  0.201 x2
Pt  0.000  0.500  0.866 x2

Computed properties:
Offset from the most stable computed form: 130 meV/atom
Size of the total moment: 3.27 μB per formula unit

***

Entry 6:
## MnSn2SbPt (PBE)

Data for MnSn2SbPt after structural relaxation.

Unit cell a=4.777 b=4.111 c=6.210 alpha=90.00 beta=112.39 gamma=90.00
Space group Pm (No. 6)
Unique sites:
Mn  0.000  0.000  0.000 x1
Sn  0.184  0.500  0.370 x1
Sn  0.454  0.500  0.910 x1
Sb  0.673  0.000  0.349 x1
Pt  0.840  0.500  0.680 x1

Computed properties:
Offset from the most stable computed form: 136 meV/atom
Size of the total moment: 3.75 μB per formula unit

***

Entry 7:
## MnSn2SbPt (PBE)

Data for MnSn2SbPt after structural relaxation.

Unit cell a=5.275 b=4.365 c=5.345 alpha=90.00 beta=113.73 gamma=90.00
Space group P2/m (No. 10)
Unique sites:
Mn  0.000  0.000  0.000 x1
Sn  0.212  0.500  0.330 x2
Sb  0.500  0.000  0.000 x1
Pt  0.000  0.000  0.500 x1

Computed properties:
Offset from the most stable computed form: 17 meV/atom
Size of the total moment: 2.74 μB per formula unit

***

Entry 8:
## MnSn2SbPt (PBE)

Data for MnSn2SbPt after structural relaxation.

Unit cell a=4.718 b=4.958 c=5.054 alpha=87.59 beta=82.14 gamma=81.22
Space group P1 (No. 1)
Unique sites:
Mn  0.000  0.000  0.000 x1
Sn  0.161  0.794  0.496 x1
Sn  0.535  0.143  0.739 x1
Sb  0.827  0.521  0.098 x1
Pt  0.343  0.287  0.265 x1

Computed properties:
Offset from the most stable computed form: 131 meV/atom
Size of the total moment: 2.93 μB per formula unit

***

Entry 9:
## MnSn2SbPt (PBE)

Data for MnSn2SbPt after structural relaxation.

Unit cell a=9.513 b=3.829 c=6.625 alpha=90.00 beta=113.00 gamma=90.00
Space group Cm (No. 8)
Unique sites:
Mn  0.000  0.000  0.000 x2
Sn  0.033  0.500  0.715 x2
Sn  0.170  0.500  0.350 x2
Sb  0.304  0.000  0.042 x2
Pt  0.467  0.500  0.395 x2

Computed properties:
Offset from the most stable computed form: 96 meV/atom
Size of the total moment: 2.98 μB per formula unit

***

Entry 10:
## MnSn2SbPt (PBE)

Data for MnSn2SbPt after structural relaxation.

Unit cell a=9.514 b=3.309 c=7.144 alpha=90.00 beta=109.76 gamma=90.00
Space group Cm (No. 8)
Unique sites:
Mn  0.000  0.000  0.000 x2
Sn  0.022  0.500  0.298 x2
Sn  0.218  0.500  0.998 x2
Sb  0.358  0.000  0.709 x2
Pt  0.053  0.000  0.614 x2

Computed properties:
Offset from the most stable computed form: 129 meV/atom
Size of the total moment: 0.00 μB per formula unit

***

Entry 11:
## MnSn2SbPt (PBE)

Data for MnSn2SbPt after structural relaxation.

Unit cell a=12.765 b=3.085 c=5.616 alpha=90.00 beta=98.31 gamma=90.00
Space group Cm (No. 8)
Unique sites:
Mn  0.000  0.000  0.000 x2
Sn  0.058  0.500  0.578 x2
Sn  0.189  0.500  0.170 x2
Sb  0.332  0.000  0.727 x2
Pt  0.373  0.000  0.242 x2

Computed properties:
Offset from the most stable computed form: 132 meV/atom
Size of the total moment: 3.70 μB per formula unit

***

Entry 12:
## MnSn2SbPt (PBE)

Data for MnSn2SbPt after structural relaxation.

Unit cell a=5.338 b=4.269 c=5.362 alpha=90.00 beta=113.11 gamma=90.00
Space group Pm (No. 6)
Unique sites:
Mn  0.000  0.000  0.000 x1
Sn  0.218  0.500  0.332 x1
Sn  0.500  0.000  0.004 x1
Sb  0.785  0.500  0.675 x1
Pt  0.001  0.000  0.500 x1

Computed properties:
Offset from the most stable computed form: 0 meV/atom
Size of the total moment: 2.61 μB per formula unit